Entry from Alexandria: Li2ReP after structural relaxation (PBE).

Properties
DFT formation energy = -4 kJ per mole of atoms

a b c (Å): 4.2934 2.5167 5.0313
angles (deg): 89.88 90.00 90.00
Atoms (fractional coordinates):
Li 0.0000 0.1225 0.9989
Li 0.5000 0.1272 0.2524
Re 0.5000 0.6248 0.7376
P 0.0000 0.6255 0.5111


Entry from Alexandria: NaHfBO4 after structural relaxation (PBE).

Properties
E_form (uncorrected) = -2.488 eV per atom

a b c (Å): 5.5535 5.5535 5.5535
angles (deg): 60.00 60.00 60.00
Atoms (fractional coordinates):
O 0.3586 0.3586 0.9242
O 0.3586 0.9242 0.3586
O 0.9242 0.3586 0.3586
O 0.3586 0.3586 0.3586
B 0.2500 0.2500 0.2500
Hf 0.5000 0.5000 0.5000
Na 0.7500 0.7500 0.7500


Entry from Alexandria: SrTeH after structural relaxation (PBE).

Properties
energy = -0.23826 Ry/atom

a b c (Å): 4.6840 4.6840 5.1604
angles (deg): 116.99 116.99 90.00
Atoms (fractional coordinates):
Sr 0.2404 0.2404 0.4807
Te 0.6711 0.6711 0.3422
H 0.9385 0.9385 0.8771


Entry from Alexandria: In2BF after structural relaxation (PBE).

Properties
E_form (uncorrected) = -0.379 eV per atom
distance to the lowest polymorph of the same formula = 0 meV/atom

a b c (Å): 5.3135 5.3135 6.9234
angles (deg): 67.43 67.43 90.00
Atoms (fractional coordinates):
B 0.5000 0.5000 0.0000
B 0.2500 0.7500 0.5000
F 0.7500 0.2500 0.5000
F 0.0000 0.0000 0.0000
In 0.5738 0.1250 0.2500
In 0.3750 0.4262 0.7500
In 0.8750 0.8238 0.7500
In 0.1762 0.6250 0.2500


Entry from Alexandria: MgSe3F after structural relaxation (PBE).

Properties
E_form (uncorrected) = 0.025 eV per atom
distance to the lowest polymorph of the same formula = 0 meV/atom

a b c (Å): 4.6816 4.6816 4.6816
angles (deg): 90.00 90.00 90.00
Atoms (fractional coordinates):
F 0.0000 0.0000 0.0000
Se 0.0000 0.0000 0.5000
Se 0.5000 0.0000 0.0000
Se 0.0000 0.5000 0.0000
Mg 0.5000 0.5000 0.5000


Entry from Alexandria: CoNi after structural relaxation (PBE).

Properties
DFT formation energy = -1 kJ per mole of atoms

a b c (Å): 4.3031 4.0462 5.0034
angles (deg): 90.00 90.00 90.00
Each line ends with the local moment (μB).
Atoms (fractional coordinates):
Co 0.9210 0.7500 0.8747  1.73
Co 0.0790 0.2500 0.1253  1.73
Co 0.4210 0.7500 0.6253  1.73
Co 0.5790 0.2500 0.3747  1.73
Ni 0.0806 0.2500 0.6246  0.73
Ni 0.5806 0.2500 0.8754  0.73
Ni 0.9194 0.7500 0.3754  0.73
Ni 0.4194 0.7500 0.1246  0.73


Entry from Alexandria: Ba4ZnHg after structural relaxation (PBE).

Properties
DFT formation energy = 40 kJ per mole of atoms
distance to the lowest polymorph of the same formula = 666 meV/atom

a b c (Å): 7.4029 7.4029 7.4029
angles (deg): 60.00 60.00 60.00
Atoms (fractional coordinates):
Ba 0.3750 0.3750 0.8750
Ba 0.3750 0.8750 0.3750
Ba 0.8750 0.3750 0.3750
Ba 0.3750 0.3750 0.3750
Hg 0.7500 0.7500 0.7500
Zn 0.0000 0.0000 0.0000


Entry from Alexandria: UCr2Si2C after structural relaxation (PBE).

Properties
E_form (uncorrected) = -0.376 eV per atom

a b c (Å): 3.9683 3.9683 5.0915
angles (deg): 90.00 90.00 90.00
Each line ends with the local moment (μB).
Atoms (fractional coordinates):
C 0.0000 0.0000 0.0000  -0.02
Cr 0.0000 0.5000 0.0000  0.21
Cr 0.5000 0.0000 0.0000  0.21
Si 0.5000 0.5000 0.7264  -0.02
Si 0.5000 0.5000 0.2736  -0.02
U 0.0000 0.0000 0.5000  1.33


Entry from Alexandria: Ho2Cu2O5 after structural relaxation (PBE).

Properties
E_form (uncorrected) = -2.219 eV per atom
distance to the lowest polymorph of the same formula = 0 meV/atom

a b c (Å): 3.5099 10.8820 12.5135
angles (deg): 90.00 90.00 90.00
Each line ends with the local moment (μB).
Atoms (fractional coordinates):
Cu 0.3399 0.0115 0.1135  0.57
Cu 0.1561 0.2381 0.2194  0.57
Cu 0.8399 0.4885 0.6135  0.57
Cu 0.6601 0.9885 0.6135  0.57
Cu 0.1601 0.5115 0.1135  0.57
Cu 0.6561 0.2619 0.7194  0.57
Cu 0.3439 0.7381 0.2194  0.57
Cu 0.8439 0.7619 0.7194  0.57
O 0.7275 0.0770 0.4742  0.09
O 0.8447 0.3753 0.1667  0.20
O 0.7747 0.6733 0.8586  0.09
O 0.2747 0.8267 0.3586  0.09
O 0.2250 0.5715 0.2647  0.18
O 0.7250 0.9285 0.7647  0.18
O 0.2725 0.9230 0.9742  0.09
O 0.2253 0.3267 0.3586  0.09
O 0.7750 0.4285 0.7647  0.18
O 0.7192 0.3221 0.5678  0.18
O 0.1553 0.6247 0.6667  0.20
O 0.2275 0.4230 0.9742  0.09
O 0.7725 0.5770 0.4742  0.09
O 0.7808 0.8221 0.5678  0.18
O 0.6553 0.8753 0.1667  0.20
O 0.2808 0.6779 0.0678  0.18
O 0.2192 0.1779 0.0678  0.18
O 0.3447 0.1247 0.6667  0.20
O 0.2750 0.0715 0.2647  0.18
O 0.7253 0.1733 0.8586  0.09
Ho 0.7772 0.9573 0.3306  0.02
Ho 0.7228 0.4573 0.3306  0.02
Ho 0.7213 0.2925 0.0029  0.02
Ho 0.2787 0.7075 0.5029  0.02
Ho 0.7787 0.7925 0.0029  0.02
Ho 0.2772 0.5427 0.8306  0.02
Ho 0.2228 0.0427 0.8306  0.02
Ho 0.2213 0.2075 0.5029  0.02


Entry from Alexandria: Ni2As2Au after structural relaxation (PBE).

Properties
DFT formation energy = 3 kJ per mole of atoms
distance to the lowest polymorph of the same formula = 53 meV/atom

a b c (Å): 4.1670 4.1670 5.4934
angles (deg): 67.71 67.71 90.00
Atoms (fractional coordinates):
Ni 0.2500 0.7500 0.5000
Ni 0.7500 0.2500 0.5000
As 0.6316 0.6316 0.7368
As 0.3684 0.3684 0.2632
Au 0.0000 0.0000 0.0000


Entry from Alexandria: TaCr2Si after structural relaxation (PBE).

Properties
E_form (uncorrected) = 0.021 eV per atom

a b c (Å): 4.8658 4.9445 2.6886
angles (deg): 77.64 83.26 117.40
Atoms (fractional coordinates):
Cr 0.0000 0.0000 0.0000
Cr 0.5000 0.0000 0.5000
Ta 0.5000 0.5000 0.0000
Si 0.0000 0.5000 0.5000


Entry from Alexandria: Ac2Sn4Bi after structural relaxation (PBE).

Properties
DFT formation energy = -45 kJ per mole of atoms

a b c (Å): 4.6295 7.1020 7.1020
angles (deg): 85.55 90.00 90.00
Atoms (fractional coordinates):
Sn 0.5000 0.0000 0.5000
Sn 0.5000 0.5000 0.0000
Sn 0.0000 0.2477 0.2477
Sn 0.0000 0.7523 0.7523
Bi 0.5000 0.5000 0.5000
Ac 0.0000 0.2389 0.7611
Ac 0.0000 0.7611 0.2389


Across the entries above, M_tot takes the values 0.000; 0.000; 0.000; 0.000; 0.000; 1.191; 0.001; 0.316; 0.222; 0.000; 0.000; 0.000 μB/atom, respectively.